Crystalline BeCdIn2 at its relaxed geometry. Source: the Alexandria database, functional GGA-PBE.

a b c (Å): 8.9788 8.9788 8.9788
angles (deg): 21.33 21.33 21.33
Sites, in units of the cell vectors:
Be (0.2500, 0.2500, 0.2500)
Cd (0.7500, 0.7500, 0.7500)
In (0.9885, 0.9885, 0.9885)
In (0.5115, 0.5115, 0.5115)

Summary:
SG   R-3m (166)
E above lowest polymorph   0.029 eV/atom
Final energy   -8.939 eV per cell
Formation energy   0.2949 eV per atom